# PmEr2Te2

PmEr2Te2 after structural relaxation (GGA-PBE, the Alexandria database).

Results
E_tot	-4.87	eV/atom
raw formation energy	-836	meV per atom

a = 8.086 Å, b = 8.086 Å, c = 5.814 Å
α = 110.65°, β = 110.65°, γ = 99.72°
Sites, in units of the cell vectors:
Pm 0.902 0.598 0.750
Pm 0.098 0.402 0.250
Er 0.215 0.894 0.548
Er 0.394 0.715 0.048
Er 0.785 0.106 0.452
Er 0.606 0.285 0.952
Te 0.200 0.300 0.750
Te 0.382 0.118 0.250
Te 0.618 0.882 0.750
Te 0.800 0.700 0.250